Record 1
PBE-GGA PtAu3, relaxed; energy of formation = 0.016 eV per atom; total DFT energy (no corrections) = -0.290 Ry/atom; D(E_F) = 0.21 states/eV/atom
1.0
4.867 -1.460 0.000
4.867 1.460 0.000
-0.904 0.000 4.893
Pt Au
1 3
Direct
0.000 0.000 0.000
0.254 0.254 0.754
0.500 0.500 0.500
0.746 0.746 0.246



Record 2
PBE-GGA Y2ThRu2, relaxed; excess energy over the best structure of this formula in the dataset = 0.00 eV per formula unit; energy of formation = -0.382 eV per atom; total DFT energy (no corrections) = -0.600 Ry/atom; D(E_F) = 0.67 states/eV/atom
1.0
4.693 0.000 0.000
-2.347 4.064 0.000
0.000 0.000 6.369
Y Th Ru
2 1 2
Direct
0.333 0.667 0.155
0.667 0.333 0.845
0.000 0.000 0.500
0.333 0.667 0.649
0.667 0.333 0.351



Record 3
PBE-GGA NdPdPb2, relaxed; excess energy over the best structure of this formula in the dataset = 1.93 eV per formula unit; energy of formation = -0.041 eV per atom; total DFT energy (no corrections) = -0.322 Ry/atom; D(E_F) = 0.73 states/eV/atom
1.0
1.771 1.022 10.530
-1.771 1.022 10.530
0.000 -2.045 10.530
Nd Pd Pb
1 1 2
Direct
0.000 0.000 0.000
0.500 0.500 0.500
0.103 0.103 0.103
0.897 0.897 0.897



Record 4
PBE-GGA CaSiOs2, relaxed; total DFT energy (no corrections) = -0.508 Ry/atom; D(E_F) = 0.72 states/eV/atom
1.0
3.049 0.000 0.000
0.000 4.343 0.000
0.000 0.000 4.825
Ca Si Os
1 1 2
Direct
0.000 0.000 0.000
0.500 0.000 0.500
0.000 0.500 0.500
0.500 0.500 0.000



Record 5
PBE-GGA TbSc5, relaxed; excess energy over the best structure of this formula in the dataset = 0.23 eV per formula unit; energy of formation = 0.053 eV per atom; total DFT energy (no corrections) = -0.441 Ry/atom; D(E_F) = 1.67 states/eV/atom
1.0
5.729 0.000 0.000
0.000 9.899 0.000
-1.918 0.000 5.406
Tb Sc
2 10
Direct
0.250 0.250 0.000
0.750 0.750 0.000
0.250 0.081 0.500
0.250 0.419 0.500
0.250 0.583 0.000
0.250 0.750 0.500
0.250 0.917 0.000
0.750 0.083 0.000
0.750 0.250 0.500
0.750 0.417 0.000
0.750 0.581 0.500
0.750 0.919 0.500



Record 6
PBE-GGA CeDy2Tm4, relaxed; excess energy over the best structure of this formula in the dataset = 1.28 eV per formula unit; energy of formation = 0.213 eV per atom; total DFT energy (no corrections) = -0.331 Ry/atom; D(E_F) = 1.85 states/eV/atom
1.0
1.795 -11.162 0.000
1.795 11.162 0.000
0.000 0.000 5.555
Ce Dy Tm
1 2 4
Direct
0.000 0.000 0.000
0.430 0.570 0.500
0.570 0.430 0.500
0.192 0.808 0.500
0.328 0.672 0.000
0.672 0.328 0.000
0.808 0.192 0.500



Record 7
PBE-GGA Na2Li2SbSe4, relaxed; total DFT energy (no corrections) = -0.262 Ry/atom; D(E_F) = 0.40 states/eV/atom
1.0
7.647 -2.002 0.000
7.647 2.002 0.000
-3.227 0.000 6.816
Na Li Sb Se
2 2 1 4
Direct
0.152 0.152 0.037
0.848 0.848 0.963
0.318 0.318 0.521
0.682 0.682 0.479
0.000 0.000 0.500
0.206 0.206 0.698
0.494 0.494 0.765
0.506 0.506 0.235
0.794 0.794 0.302



Record 8
PBE-GGA ZrSbIN2, relaxed; excess energy over the best structure of this formula in the dataset = 0.00 eV per formula unit; total DFT energy (no corrections) = -0.409 Ry/atom; D(E_F) = 0.66 states/eV/atom
1.0
4.333 0.000 0.000
0.000 4.333 0.000
0.000 0.000 5.880
Zr Sb I N
1 1 1 2
Direct
0.000 0.000 0.000
0.500 0.500 0.500
0.000 0.000 0.500
0.000 0.500 0.000
0.500 0.000 0.000